# FeAu4Cl, optimized geometry, DFT PBE-GGA
data_FeAu4Cl
_chemical_formula_sum 'Fe4 Au16 Cl4'
_symmetry_space_group_name_H-M 'F -4 3 m'
_symmetry_Int_Tables_number 216
_symmetry_space_group_name_Hall 'F -4 2 3'
_cell_length_a 7.826
_cell_length_b 7.826
_cell_length_c 7.826
_cell_angle_alpha 90.00
_cell_angle_beta 90.00
_cell_angle_gamma 90.00
loop_
_atom_site_label
_atom_site_type_symbol
_atom_site_fract_x
_atom_site_fract_y
_atom_site_fract_z
_atom_site_occupancy
Fe1 Fe 0.000 0.000 0.000 1
Au1 Au 0.125 0.125 0.625 1
Cl1 Cl 0.250 0.250 0.250 1
# M_tot   3.580 μB/f.u.
# ΔE_f (raw)   0.390 eV/atom